# 1
Entry from the Alexandria database: a relaxed ZrSc2Mn crystal (GGA-PBE).

Computed properties:
Formation energy ... 0.239 eV per atom
Total DFT energy (no corrections) ... -7.356 eV per atom

a b c (Å): 9.4497 9.4497 9.4497
angles (deg): 19.14 19.14 19.14
Last column: nearest neighbours and their distance in Å.
Element x y z (fractional)
Sc: 0.4835 0.4835 0.4835  3 Mn 2.60
Zr: 0.2500 0.2500 0.2500  6 Zr 3.14, 6 Sc 3.32
Mn: 0.7500 0.7500 0.7500  6 Sc 2.60
Sc: 0.0165 0.0165 0.0165  3 Mn 2.60

# 2
Entry from the Alexandria database: a relaxed SmY3Co2 crystal (GGA-PBE).

Computed properties:
Formation energy ... -0.129 eV per atom
Total DFT energy (no corrections) ... -6.516 eV per atom

a b c (Å): 3.7584 8.5017 10.0292
angles (deg): 78.57 79.20 77.23
Last column: nearest neighbours and their distance in Å.
Element x y z (fractional)
Co: 0.7659 0.9238 0.5444  2 Co 2.35
Co: 0.2341 0.0762 0.4556  2 Co 2.35
Y: 0.1578 0.9323 0.7520  3 Co 2.79-2.97
Y: 0.5839 0.2708 0.5614  3 Co 2.79-2.91
Y: 0.4161 0.7292 0.4386  3 Co 2.79-2.91
Co: 0.2362 0.5766 0.9510  2 Co 2.38
Sm: 0.8416 0.5693 0.7476  3 Co 2.75-3.02
Co: 0.7638 0.4234 0.0490  2 Co 2.38
Y: 0.8422 0.0677 0.2480  3 Co 2.79-2.97
Y: 0.5832 0.7778 0.0559  3 Co 2.82-2.95
Y: 0.4168 0.2222 0.9441  3 Co 2.82-2.95
Sm: 0.1584 0.4307 0.2524  3 Co 2.75-3.02

# 3
Entry from the Alexandria database: a relaxed GaReTe3 crystal (GGA-PBE).

Computed properties:
Total DFT energy (no corrections) ... -4.362 eV per atom

a b c (Å): 5.3098 5.3098 5.3098
angles (deg): 90.00 90.00 90.00
Last column: nearest neighbours and their distance in Å.
Element x y z (fractional)
Te: 0.0000 0.0000 0.5000  2 Re 2.65
Ga: 0.5000 0.5000 0.5000  12 Te 3.75
Re: 0.0000 0.0000 0.0000  6 Te 2.65
Te: 0.5000 0.0000 0.0000  2 Re 2.65
Te: 0.0000 0.5000 0.0000  2 Re 2.65

Mass density? In order: 4.943; 5.866; 7.085 g cm⁻³.